# 1
Entry from Alexandria via LeMat-Bulk: a relaxed PmCdNiAg crystal (GGA-PBE).

Computed properties:
Space-group type ... No. 216
Energy ... -14.97 eV/f.u.
Energy relative to the elements ... -0.169 eV/atom

Cell: 4.875 4.875 4.875 Å, 60.00 60.00 60.00°
Positions (direct):
1 Pm 0.000 0.000 0.000
2 Cd 0.500 0.500 0.500
3 Ni 0.750 0.750 0.750
4 Ag 0.250 0.250 0.250


# 2
Entry from Alexandria via LeMat-Bulk: a relaxed PaAlV2 crystal (GGA-PBE).

Computed properties:
Space-group type ... No. 225
Energy ... -31.92 eV/f.u.
Energy relative to the elements ... -0.112 eV/atom
Polymorph energy (0 for the lowest one) ... 0 meV per atom

Cell: 4.514 4.514 4.514 Å, 60.00 60.00 60.00°
Positions (direct):
1 Pa 0.000 0.000 0.000
2 Al 0.500 0.500 0.500
3 V 0.250 0.250 0.250
4 V 0.750 0.750 0.750


# 3
Entry from Alexandria via LeMat-Bulk: a relaxed RbFeIBr2 crystal (GGA-PBE).

Computed properties:
Space-group type ... No. 123
Energy ... -18.12 eV/f.u.
E_form (uncorrected) ... -366 kJ/mol of formula units

Cell: 5.280 5.280 5.760 Å, 90.00 90.00 90.00°
Positions (direct):
1 Rb 0.000 0.000 0.000
2 Fe 0.500 0.500 0.500
3 I 0.500 0.500 0.000
4 Br 0.000 0.500 0.500
5 Br 0.500 0.000 0.500


# 4
Entry from Alexandria via LeMat-Bulk: a relaxed AcMnPt4 crystal (GGA-PBE).

Computed properties:
Space-group type ... No. 216
Energy ... -41.12 eV/f.u.
Energy relative to the elements ... -0.613 eV/atom

Cell: 5.483 5.483 5.483 Å, 60.00 60.00 60.00°
Positions (direct):
1 Ac 0.000 0.000 0.000
2 Mn 0.250 0.250 0.250
3 Pt 0.128 0.624 0.624
4 Pt 0.624 0.128 0.624
5 Pt 0.624 0.624 0.128
6 Pt 0.624 0.624 0.624


# 5
Entry from Alexandria via LeMat-Bulk: a relaxed Y4Cu crystal (GGA-PBE).

Computed properties:
Space-group type ... No. 139
Energy ... -27.31 eV/f.u.
Energy relative to the elements ... 0.528 eV/atom
Polymorph energy (0 for the lowest one) ... 515 meV per atom

Cell: 9.577 9.577 9.577 Å, 155.30 155.30 35.22°
Positions (direct):
1 Y 0.085 0.085 0.000
2 Y 0.250 0.750 0.500
3 Y 0.750 0.250 0.500
4 Y 0.915 0.915 0.000
5 Cu 0.500 0.500 0.000


# 6
Entry from Alexandria via LeMat-Bulk: a relaxed FeIr2Au crystal (GGA-PBE).

Computed properties:
Space-group type ... No. 216
Energy ... -27.71 eV/f.u.
Energy relative to the elements ... 0.438 eV/atom
Polymorph energy (0 for the lowest one) ... 312 meV per atom

Cell: 4.415 4.415 4.415 Å, 60.00 60.00 60.00°
Positions (direct):
1 Fe 0.000 0.000 0.000
2 Ir 0.500 0.500 0.500
3 Ir 0.750 0.750 0.750
4 Au 0.250 0.250 0.250


# 7
Entry from Alexandria via LeMat-Bulk: a relaxed LiSmPb crystal (GGA-PBE).

Computed properties:
Space-group type ... No. 216
Energy ... -11.40 eV/f.u.
Energy relative to the elements ... -0.352 eV/atom

Cell: 4.773 4.773 4.773 Å, 60.00 60.00 60.00°
Positions (direct):
1 Li 0.000 0.000 0.000
2 Sm 0.250 0.250 0.250
3 Pb 0.750 0.750 0.750


# 8
Entry from Alexandria via LeMat-Bulk: a relaxed Ti2CuRh4 crystal (GGA-PBE).

Computed properties:
Space-group type ... No. 64
Energy ... -51.24 eV/f.u.
Energy relative to the elements ... -0.279 eV/atom

Cell: 5.429 5.429 8.613 Å, 90.00 90.00 59.08°
Positions (direct):
1 Ti 0.156 0.156 0.000
2 Ti 0.344 0.344 0.500
3 Ti 0.656 0.656 0.500
4 Ti 0.844 0.844 0.000
5 Cu 0.000 0.000 0.500
6 Cu 0.500 0.500 0.000
7 Rh 0.082 0.418 0.750
8 Rh 0.119 0.881 0.782
9 Rh 0.381 0.619 0.282
10 Rh 0.418 0.082 0.250
11 Rh 0.582 0.918 0.750
12 Rh 0.619 0.381 0.718
13 Rh 0.881 0.119 0.218
14 Rh 0.918 0.582 0.250